--- one ---
VASP calculation (PBE) on a geometry-optimized K2BaAu structure.

The calculation puts the density of states at the Fermi level at 3.7 states/eV/cell.

The space group is Pm (No. 6) and the conventional cell measures 4.794, 4.451 and 10.141 Å, with angles of 90.00, 103.61 and 90.00 degrees. The asymmetric unit holds K at (0.000, 0.000, 0.000), K at (0.329, 0.500, 0.660), Ba at (0.655, 0.500, 0.312) and Au at (0.182, 0.000, 0.366).

--- two ---
VASP calculation (PBE) on a geometry-optimized K2BaAu structure.

The calculation puts the density of states at the Fermi level at 4.7 states/eV/cell.

The space group is P2_1 (No. 4) and the conventional cell measures 4.725, 4.725 and 19.614 Å, with angles of 90.00, 90.00 and 90.00 degrees. The asymmetric unit holds K at (0.248, 0.000, 0.242), K at (0.251, 0.001, 0.921), Ba at (0.250, 0.997, 0.581) and Au at (0.250, 0.997, 0.413).

--- three ---
VASP calculation (PBE) on a geometry-optimized K2BaAu structure.

The calculation puts the density of states at the Fermi level at 5.0 states/eV/cell.

The space group is Cmmm (No. 65) and the conventional cell measures 6.904, 7.779 and 6.651 Å, with angles of 90.00, 90.00 and 90.00 degrees. The asymmetric unit holds K at (0.000, 0.206, 0.000), Ba at (0.000, 0.500, 0.500) and Au at (0.000, 0.000, 0.500).

--- four ---
VASP calculation (PBE) on a geometry-optimized K2BaAu structure.

The calculation puts the density of states at the Fermi level at 6.5 states/eV/cell.

The space group is I-4m2 (No. 119) and the conventional cell measures 6.162, 6.162 and 8.667 Å, with angles of 90.00, 90.00 and 90.00 degrees. The asymmetric unit holds K at (0.000, 0.000, 0.000), K at (0.000, 0.500, 0.250), Ba at (0.000, 0.500, 0.750) and Au at (0.000, 0.000, 0.500).

Result of the stability comparison: two is the most stable of them.